Entry from Alexandria: an optimized crystal structure of SrVSnF6 (PBE with a Hubbard U).

```
data_SrVSnF6
_symmetry_space_group_name_H-M 'P 1'
_symmetry_Int_Tables_number 1
_symmetry_space_group_name_Hall 'P 1'
_cell_length_a 6.061
_cell_length_b 6.061
_cell_length_c 9.510
_cell_angle_alpha 90.00
_cell_angle_beta 90.00
_cell_angle_gamma 120.00
loop_
_atom_site_label
_atom_site_type_symbol
_atom_site_fract_x
_atom_site_fract_y
_atom_site_fract_z
Sr1 Sr 0.333 0.667 0.250
Sr2 Sr 0.667 0.333 0.750
V1 V 0.333 0.667 0.750
V2 V 0.667 0.333 0.250
Sn1 Sn 0.000 0.000 0.000
Sn2 Sn 0.000 0.000 0.500
F1 F 0.038 0.363 0.632
F2 F 0.038 0.675 0.868
F3 F 0.325 0.363 0.868
F4 F 0.325 0.962 0.632
F5 F 0.363 0.038 0.132
F6 F 0.363 0.325 0.368
F7 F 0.637 0.675 0.632
F8 F 0.637 0.962 0.868
F9 F 0.675 0.038 0.368
F10 F 0.675 0.637 0.132
F11 F 0.962 0.325 0.132
F12 F 0.962 0.637 0.368
```

Values from the calculation:
Space-group type: P-31c
Electronic total energy in eV for the cell shown: -100.79